[1]
Density functional theory data (PBE-GGA) for crystalline YV2AuC at its relaxed geometry.

Computed properties:
final energy = -22.42 eV/cell

a = 5.070 Å, b = 5.070 Å, c = 5.192 Å
α = 90.00°, β = 90.00°, γ = 90.00°
Space group P4/mmm (No. 123)
Asymmetric unit:
1 Y 0.000 0.000 0.000 (multiplicity 1)
2 V 0.000 0.500 0.000 (multiplicity 2)
3 Au 0.000 0.000 0.500 (multiplicity 1)
4 C 0.500 0.500 0.500 (multiplicity 1)



[2]
Density functional theory data (PBE-GGA) for crystalline AcErLuTh at its relaxed geometry.

Computed properties:
final energy = -80.53 eV/cell

a = 8.154 Å, b = 8.154 Å, c = 8.154 Å
α = 90.00°, β = 90.00°, γ = 90.00°
Space group F-43m (No. 216)
Asymmetric unit:
1 Ac 0.000 0.000 0.000 (multiplicity 4)
2 Er 0.250 0.250 0.250 (multiplicity 4)
3 Lu 0.250 0.250 0.750 (multiplicity 4)
4 Th 0.000 0.000 0.500 (multiplicity 4)



[3]
Density functional theory data (PBE-GGA) for crystalline K3YU2O9 at its relaxed geometry.

Computed properties:
formation energy without anion corrections = -2897 meV/atom

a = 6.1140 Å, b = 6.1140 Å, c = 7.4861 Å
α = 90.00°, β = 90.00°, γ = 120.00°
Space group P-3m1 (No. 164)
Asymmetric unit:
1 K 0.0000 0.0000 0.0000 (multiplicity 1)
2 K 0.3333 0.6667 0.6609 (multiplicity 2)
3 Y 0.0000 0.0000 0.5000 (multiplicity 1)
4 U 0.3333 0.6667 0.1676 (multiplicity 2)
5 O 0.0000 0.5000 0.0000 (multiplicity 3)
6 O 0.1747 0.3494 0.3225 (multiplicity 6)



[4]
Density functional theory data (PBE-GGA) for crystalline Sr2Li12Cd3In at its relaxed geometry.

Computed properties:
final energy = -98.32 eV/cell

a = 10.2596 Å, b = 10.2596 Å, c = 13.8436 Å
α = 90.00°, β = 90.00°, γ = 120.00°
Space group R-3m (No. 166, hexagonal axes)
Asymmetric unit:
1 Sr 0.0000 0.0000 0.2352 (multiplicity 6)
2 Li 0.0279 0.5140 0.2060 (multiplicity 18)
3 Li 0.0475 0.5237 0.6026 (multiplicity 18)
4 Cd 0.0000 0.5000 0.0000 (multiplicity 9)
5 In 0.0000 0.0000 0.5000 (multiplicity 3)



[5]
Density functional theory data (PBE-GGA) for crystalline Tl5Cd2Hg at its relaxed geometry.

Computed properties:
final energy = -54.90 eV/cell

a = 5.037 Å, b = 11.896 Å, c = 15.496 Å
α = 90.00°, β = 90.00°, γ = 90.00°
Space group Cmcm (No. 63)
Asymmetric unit:
1 Tl 0.000 0.020 0.250 (multiplicity 4)
2 Tl 0.000 0.141 0.531 (multiplicity 8)
3 Tl 0.000 0.448 0.606 (multiplicity 8)
4 Cd 0.000 0.280 0.147 (multiplicity 8)
5 Hg 0.000 0.249 0.750 (multiplicity 4)



[6]
Density functional theory data (PBE-GGA) for crystalline YTlRh2 at its relaxed geometry.

Computed properties:
final energy = -24.66 eV/cell

a = 3.740 Å, b = 3.740 Å, c = 5.671 Å
α = 90.00°, β = 90.00°, γ = 90.00°
Space group P4mm (No. 99)
Asymmetric unit:
1 Y 0.000 0.000 0.000 (multiplicity 1)
2 Tl 0.500 0.500 0.665 (multiplicity 1)
3 Rh 0.000 0.000 0.486 (multiplicity 1)
4 Rh 0.500 0.500 0.180 (multiplicity 1)



[7]
Density functional theory data (PBE-GGA) for crystalline LaTc2N4 at its relaxed geometry.

Computed properties:
formation energy without anion corrections = -396 meV/atom

a = 5.269 Å, b = 9.240 Å, c = 8.677 Å
α = 90.00°, β = 90.00°, γ = 90.00°
Space group Cccm (No. 66)
Asymmetric unit:
1 La 0.000 0.000 0.250 (multiplicity 4)
2 Tc 0.001 0.269 0.000 (multiplicity 8)
3 N 0.215 0.097 0.000 (multiplicity 8)
4 N 0.250 0.250 0.340 (multiplicity 8)



[8]
Density functional theory data (PBE-GGA) for crystalline BRu2AuO at its relaxed geometry.

Computed properties:
formation energy without anion corrections = 2243 meV/atom

a = 5.108 Å, b = 5.108 Å, c = 3.930 Å
α = 90.00°, β = 90.00°, γ = 90.00°
Space group P4/mmm (No. 123)
Asymmetric unit:
1 B 0.000 0.000 0.000 (multiplicity 1)
2 Ru 0.000 0.500 0.500 (multiplicity 2)
3 Au 0.000 0.000 0.500 (multiplicity 1)
4 O 0.500 0.500 0.000 (multiplicity 1)



[9]
Density functional theory data (PBE-GGA) for crystalline PrFe2Co3 at its relaxed geometry.

Computed properties:
final energy = -171.43 eV/cell

a = 9.750 Å, b = 7.926 Å, c = 4.688 Å
α = 90.00°, β = 90.00°, γ = 90.00°
Space group Cmcm (No. 63)
Asymmetric unit:
1 Pr 0.000 0.184 0.250 (multiplicity 4)
2 Fe 0.210 0.500 0.000 (multiplicity 8)
3 Co 0.000 0.434 0.750 (multiplicity 4)
4 Co 0.202 0.239 0.750 (multiplicity 8)



[10]
Density functional theory data (PBE-GGA) for crystalline DyTl2Os3O12 at its relaxed geometry.

Computed properties:
formation energy without anion corrections = -1280 meV/atom

a = 7.3188 Å, b = 7.3188 Å, c = 18.8415 Å
α = 90.00°, β = 90.00°, γ = 120.00°
Space group R-3m (No. 166, hexagonal axes)
Asymmetric unit:
1 Dy 0.0000 0.0000 0.0000 (multiplicity 3)
2 Tl 0.0000 0.0000 0.3424 (multiplicity 6)
3 Os 0.0000 0.5000 0.5000 (multiplicity 9)
4 O 0.0364 0.5182 0.5998 (multiplicity 18)
5 O 0.0837 0.5419 0.8421 (multiplicity 18)



[11]
Density functional theory data (PBE-GGA) for crystalline Be3P2 at its relaxed geometry.

Computed properties:
polymorph energy (0 for the lowest one) = 0 meV/atom

a = 10.194 Å, b = 10.194 Å, c = 10.194 Å
α = 90.00°, β = 90.00°, γ = 90.00°
Space group Ia-3 (No. 206)
Asymmetric unit:
1 Be 0.121 0.130 0.626 (multiplicity 48)
2 P 0.000 0.250 0.494 (multiplicity 24)
3 P 0.250 0.250 0.250 (multiplicity 8)